Entry 1:
The following is a PBE-GGA calculation of a relaxed structure of Sr2Tl5Ag, from the Alexandria database.

The formation energy comes out at -20.2 kJ/mol of atoms. The final energy comes out at -78.89 eV for the cell shown. The density of states at the Fermi level comes out at 0.42 states/eV/atom.

The structure belongs to space group Cmcm (No. 63); the cell edges are 4.860, 18.937 and 11.007 Å and the angles 90.00°, 90.00° and 90.00°. The inequivalent atoms are Sr at (0.000, 0.000, 0.000), Sr at (0.000, 0.193, 0.250), Tl at (0.000, 0.197, 0.600), Tl at (0.000, 0.366, 0.539), Tl at (0.000, 0.397, 0.250) and Ag at (0.000, 0.454, 0.750).


Entry 2:
The following is a PBE-GGA calculation of a relaxed structure of Na3RuC, from the Alexandria database.

The formation energy comes out at 207.3 kJ/mol of atoms. The final energy comes out at -11.71 eV for the cell shown. The energy above the most stable polymorph in this dataset comes out at 0.502 eV per atom. The density of states at the Fermi level comes out at 6.81 states/eV/atom.

The structure belongs to space group Pm-3m (No. 221); the cell edges are 5.673, 5.673 and 5.673 Å and the angles 90.00°, 90.00° and 90.00°. The inequivalent atoms are Na at (0.000, 0.000, 0.500), Ru at (0.000, 0.000, 0.000) and C at (0.500, 0.500, 0.500).